This record from the Open Quantum Materials Database describes crystalline YHoS2Br2 at its relaxed geometry. The functional is PBE.

Results
The crystal system is orthorhombic. The value obtained for the total energy is -5.792 eV/atom. As for the calculated volume: 197.61 Å³ per cell.

a = 4.0582 Å, b = 5.3575 Å, c = 9.0891 Å
α = 90.00°, β = 90.00°, γ = 90.00°
Space group Pmm2 (No. 25)
Inequivalent atoms, fractional coordinates:
Y1 0.0000 0.0000 0.0000 (multiplicity 1)
Ho1 0.5000 0.5000 0.2534 (multiplicity 1)
S1 0.0000 0.5000 0.0521 (multiplicity 1)
S2 0.5000 0.0000 0.2042 (multiplicity 1)
Br1 0.0000 0.5000 0.4684 (multiplicity 1)
Br2 0.5000 0.0000 0.7828 (multiplicity 1)